Record 1
{"formula": "La2MgIr", "functional": "PBEsol", "state": "optimized geometry", "lattice_angstrom": [[-0.8737, -2.2486, 2.7406], [2.4985, -2.3929, -1.1668], [5.4158, 3.4375, 4.5470]], "species": ["Mg", "Ir", "La", "La"], "frac_coords": [[0.5000, 0.5000, 0.0000], [0.5000, 0.5000, 0.5000], [0.0000, 0.0000, 0.7064], [0.0000, 0.0000, 0.2936]], "formation_energy_ev_per_atom": -0.335, "volume_a3_per_atom": 26.20, "space_group": "P4/mmm", "dos_ef_per_ev_atom": 1.0330, "magnetic_moment_mub_per_cell": 0.00}


Record 2
{"formula": "LiMoO2", "functional": "PBEsol", "state": "optimized geometry", "lattice_angstrom": [[-1.6681, -0.7767, 1.9258], [2.5407, -4.3702, 0.4381], [3.1468, 2.1913, 3.6095]], "species": ["Mo", "Mo", "O", "O", "O", "O", "Li", "Li"], "frac_coords": [[0.5000, 0.0000, 0.0000], [0.0000, 0.5000, 0.5000], [0.5000, 0.3132, 0.2494], [0.0000, 0.1868, 0.7494], [0.5000, 0.6868, 0.7506], [0.0000, 0.8132, 0.2506], [0.0000, 0.5000, 0.0000], [0.5000, 0.0000, 0.5000]], "volume_a3_per_atom": 8.90, "formation_energy_uncorrected_ev_per_atom": -1.752, "space_group": "Pnnm", "de_polymorph_mev_per_atom": 172, "dos_ef_per_ev_atom": 0.5346, "magnetic_moment_mub_per_cell": 0.00}


Record 3
{"formula": "Sc2Ni", "functional": "PBEsol", "state": "optimized geometry", "lattice_angstrom": [[2.9380, 0.0000, 0.0000], [0.0000, 4.4574, 0.0000], [0.0000, 0.0000, 4.4574]], "species": ["Sc", "Sc", "Ni"], "frac_coords": [[0.5000, 0.5000, 0.0000], [0.5000, 0.0000, 0.5000], [0.0000, 0.0000, 0.0000]], "formation_energy_ev_per_atom": -0.138, "volume_a3_per_atom": 19.46, "space_group": "P4/mmm", "dos_ef_per_ev_atom": 1.1738, "magnetic_moment_mub_per_cell": 0.00}


Record 4
{"formula": "LiBeCl", "functional": "PBEsol", "state": "optimized geometry", "lattice_angstrom": [[3.1392, 0.0000, 0.0000], [-1.5696, 2.7186, 0.0000], [0.0000, 0.0000, 5.3176]], "species": ["Li", "Cl", "Be"], "frac_coords": [[0.6667, 0.3333, 0.3357], [0.3333, 0.6667, 0.6962], [0.0000, 0.0000, 0.9681]], "volume_a3_per_atom": 15.13, "formation_energy_uncorrected_ev_per_atom": -0.267, "space_group": "P3m1", "de_polymorph_mev_per_atom": 0, "dos_ef_per_ev_atom": 0.1338, "magnetic_moment_mub_per_cell": 0.00}


Record 5
{"formula": "NiTeSe", "functional": "PBEsol", "state": "optimized geometry", "lattice_angstrom": [[-2.1706, -3.3509, -2.1902], [2.3121, -2.7874, -2.7608], [0.6986, -4.3352, 1.2063]], "species": ["Ni", "Te", "Se"], "frac_coords": [[0.0000, 0.0000, 0.0000], [0.2500, 0.2500, 0.2500], [0.5000, 0.5000, 0.5000]], "volume_a3_per_atom": 22.26, "formation_energy_uncorrected_ev_per_atom": 0.662, "space_group": "F-43m", "de_polymorph_mev_per_atom": 958, "dos_ef_per_ev_atom": 0.4385, "magnetic_moment_mub_per_cell": 0.00}


Record 6
{"formula": "CoPdSeBr2", "functional": "PBEsol", "state": "optimized geometry", "lattice_angstrom": [[4.3676, 0.0000, 0.0000], [0.0000, 4.8756, 0.0000], [0.0000, 0.0000, 4.8756]], "species": ["Br", "Br", "Se", "Pd", "Co"], "frac_coords": [[0.0000, 0.5000, 0.0000], [0.0000, 0.0000, 0.5000], [0.5000, 0.0000, 0.0000], [0.5000, 0.5000, 0.5000], [0.0000, 0.0000, 0.0000]], "volume_a3_per_atom": 20.76, "formation_energy_uncorrected_ev_per_atom": 0.463, "space_group": "P4/mmm", "dos_ef_per_ev_atom": 1.7452, "magnetic_moment_mub_per_cell": 0.01}


What is the formula in the second record? LiMoO2